Entry from Alexandria via LeMat-Bulk: HfCu2Ni4 after structural relaxation (PBE).

Results
* total magnetization: 0.000 μB per formula unit
* ΔH_f (0 K): -0.045 eV per atom

Cell lengths 4.553, 4.794, 4.897 Å; angles 102.40, 97.92, 114.41 degrees
Space group P-1 (No. 2)
Unique sites:
1 Hf 0.000 0.000 0.000 x1
2 Cu 0.022 0.570 0.278 x2
3 Ni 0.449 0.979 0.731 x2
4 Ni 0.500 0.500 0.000 x1
5 Ni 0.500 0.500 0.500 x1